LaPmHo5Tm2 | GGA-PBE | optimized geometry

Results
symmetry = I4/mcm
formation enthalpy at 0 K = 0.285 eV/atom

a = 8.986 Å, b = 8.986 Å, c = 9.694 Å
α = 117.61°, β = 117.61°, γ = 90.00°
Fractional coordinates of all 18 atoms:
Tm (0.388, 0.888, 0.000)
Tm (0.612, 0.112, 0.000)
Tm (0.888, 0.612, 0.000)
Tm (0.112, 0.388, 0.000)
Ho (0.926, 0.426, 0.255)
Ho (0.171, 0.074, 0.745)
Ho (0.329, 0.829, 0.255)
Ho (0.829, 0.926, 0.255)
Ho (0.574, 0.671, 0.745)
Ho (0.500, 0.500, 0.000)
Ho (0.671, 0.171, 0.745)
Ho (0.074, 0.574, 0.745)
Ho (0.000, 0.000, 0.000)
Ho (0.426, 0.329, 0.255)
La (0.750, 0.750, 0.500)
La (0.250, 0.250, 0.500)
Pm (0.250, 0.750, 0.500)
Pm (0.750, 0.250, 0.500)